The following is a PBE-GGA calculation of a relaxed structure of SmH2ClO2, from OQMD.

Properties
As for the electronic total energy: -5.946 eV per atom. Its space-group type is P2_1/m (11).

Cell lengths 6.127, 3.760, 6.743 Å; angles 90.00, 111.82, 90.00 degrees
Positions (direct):
1 Cl 0.756 0.250 0.059
2 Cl 0.244 0.750 0.941
3 H 0.304 0.250 0.192
4 H 0.116 0.750 0.275
5 H 0.884 0.250 0.725
6 H 0.696 0.750 0.808
7 O 0.428 0.250 0.334
8 O 0.101 0.750 0.414
9 O 0.899 0.250 0.586
10 O 0.572 0.750 0.666
11 Sm 0.693 0.750 0.368
12 Sm 0.307 0.250 0.632